The following is a DFT calculation (PBE) of HfCd2PIr after structural relaxation.

## Properties
Crystal system: tetragonal
Magnetization in μB/f.u.: 0.000
ΔH_f (0 K) in eV/atom: 0.545
Total DFT energy (no corrections) in eV per atom: -4.666
V in Å³ per atom: 25.587
Fermi-level density of states in states/eV/cell: 4.326

a b c (Å): 5.103 5.103 4.914
angles (deg): 90.00 90.00 90.00
Space group P4/mmm (No. 123)
Unique sites:
Hf 0.000 0.000 0.000 (multiplicity 1)
Cd 0.000 0.500 0.500 (multiplicity 2)
P 0.500 0.500 0.000 (multiplicity 1)
Ir 0.000 0.000 0.500 (multiplicity 1)